VASP calculation (PBE) on crystalline InNiMo3 at its relaxed geometry.

Lattice parameters (Å, degrees): 4.8494 4.8494 4.8494 90.00 90.00 90.00
Each line ends with the local moment (μB).
Sites, in units of the cell vectors:
Mo (0.0000, 0.5000, 0.0000)  -0.10
Mo (0.5000, 0.0000, 0.0000)  -0.08
Mo (0.0000, 0.0000, 0.5000)  -0.11
Ni (0.5000, 0.5000, 0.5000)  0.43
In (0.0000, 0.0000, 0.0000)  0.00

Properties
The calculation puts the formation enthalpy at 0 K at 2.7272 eV per atom. Its space-group type is Pm-3m (221).

=====

VASP calculation (PBE) on crystalline InNiMo4 at its relaxed geometry.

Lattice parameters (Å, degrees): 5.2447 5.2447 5.2447 60.00 60.00 60.00
Sites, in units of the cell vectors:
In (0.0000, 0.0000, 0.0000)
Mo (0.6242, 0.6242, 0.1273)
Mo (0.1273, 0.6242, 0.6242)
Mo (0.6242, 0.1273, 0.6242)
Mo (0.6242, 0.6242, 0.6242)
Ni (0.2500, 0.2500, 0.2500)

Properties
The calculation puts the formation enthalpy at 0 K at 0.5081 eV per atom. Its space-group type is F-43m (216).

=====

VASP calculation (PBE) on crystalline InNi2Mo at its relaxed geometry.

Lattice parameters (Å, degrees): 8.7203 8.7203 8.7203 18.66 18.66 18.66
Sites, in units of the cell vectors:
Mo (0.7500, 0.7500, 0.7500)
In (0.2500, 0.2500, 0.2500)
Ni (0.4971, 0.4971, 0.4971)
Ni (0.0029, 0.0029, 0.0029)

Properties
The calculation puts the formation enthalpy at 0 K at 0.2543 eV per atom. Its space-group type is R-3m (166).

=====

Looking at density for the records above, in order, we have 6.72; 9.07; 9.19 g/cm3.
Looking at DFT total energy for the records above, in order, we have -27.38; -48.80; -24.12 eV/f.u..